DFT (PBE) results for RhN3Cl after structural relaxation. Values from VASP.

```
&SYSTEM
  ibrav = 0, nat = 5, ntyp = 3
/
ATOMIC_SPECIES
N 14.01 N.upf
Rh 102.91 Rh.upf
Cl 35.45 Cl.upf
CELL_PARAMETERS angstrom
-1.558 3.652 0.290
-2.362 -0.760 -3.112
-2.800 -1.390 2.465
ATOMIC_POSITIONS angstrom
N -0.779 1.826 0.145
N -1.181 -0.380 -1.556
N -1.400 -0.695 1.232
Rh 0.000 0.000 0.000
Cl -3.360 0.751 -0.179
```


DFT (PBE) results for RhN3Cl after structural relaxation. Values from VASP.

```
&SYSTEM
  ibrav = 0, nat = 5, ntyp = 3
/
ATOMIC_SPECIES
Rh 102.91 Rh.upf
N 14.01 N.upf
Cl 35.45 Cl.upf
CELL_PARAMETERS angstrom
-0.629 3.642 0.156
-0.181 0.127 -3.693
-3.641 -0.636 0.157
ATOMIC_POSITIONS angstrom
Rh -2.226 1.567 -1.690
N -0.315 1.821 0.078
N -1.821 -0.318 0.078
N -0.091 0.063 -1.846
Cl 0.000 0.000 0.000
```


DFT (PBE) results for RhNCl3 after structural relaxation. Values from VASP.

```
&SYSTEM
  ibrav = 0, nat = 5, ntyp = 3
/
ATOMIC_SPECIES
N 14.01 N.upf
Cl 35.45 Cl.upf
Rh 102.91 Rh.upf
CELL_PARAMETERS angstrom
4.420 0.000 0.000
0.000 4.420 0.000
0.000 0.000 4.420
ATOMIC_POSITIONS angstrom
N 0.000 0.000 0.000
Cl 0.000 0.000 2.210
Cl 0.000 2.210 0.000
Cl 2.210 0.000 0.000
Rh 2.210 2.210 2.210
```


DFT (PBE) results for Rh2NCl after structural relaxation. Values from VASP.

```
&SYSTEM
  ibrav = 0, nat = 8, ntyp = 3
/
ATOMIC_SPECIES
N 14.01 N.upf
Rh 102.91 Rh.upf
Cl 35.45 Cl.upf
CELL_PARAMETERS angstrom
5.029 0.000 0.000
0.000 5.029 0.000
2.515 2.515 5.205
ATOMIC_POSITIONS angstrom
N 2.515 2.515 0.000
N 2.515 5.029 2.603
Rh 1.786 3.772 1.301
Rh 3.772 4.300 3.904
Rh 6.286 5.758 3.904
Rh 3.243 1.257 1.301
Cl 0.000 0.000 0.000
Cl 5.029 2.515 2.603
```


DFT (PBE) results for RhSe2NCl after structural relaxation. Values from VASP.

```
&SYSTEM
  ibrav = 0, nat = 5, ntyp = 4
/
ATOMIC_SPECIES
Se 78.96 Se.upf
Rh 102.91 Rh.upf
Cl 35.45 Cl.upf
N 14.01 N.upf
CELL_PARAMETERS angstrom
-3.963 -2.427 2.032
0.774 -3.900 -3.149
1.993 -1.396 2.219
ATOMIC_POSITIONS angstrom
Se -1.981 -1.214 1.016
Se 0.387 -1.950 -1.574
Rh -0.598 -3.862 0.551
Cl 0.000 0.000 0.000
N 0.996 -0.698 1.110
```


DFT (PBE) results for RhSe2NCl after structural relaxation. Values from VASP.

```
&SYSTEM
  ibrav = 0, nat = 5, ntyp = 4
/
ATOMIC_SPECIES
Rh 102.91 Rh.upf
N 14.01 N.upf
Cl 35.45 Cl.upf
Se 78.96 Se.upf
CELL_PARAMETERS angstrom
-3.643 1.433 3.451
-0.094 -4.853 1.916
2.589 0.884 2.366
ATOMIC_POSITIONS angstrom
Rh 0.000 0.000 0.000
N 1.294 0.442 1.183
Cl -0.574 -1.268 3.866
Se -1.822 0.716 1.725
Se -0.047 -2.427 0.958
```


DFT (PBE) results for SrRhNCl2 after structural relaxation. Values from VASP.

```
&SYSTEM
  ibrav = 0, nat = 5, ntyp = 4
/
ATOMIC_SPECIES
Sr 87.62 Sr.upf
Cl 35.45 Cl.upf
Rh 102.91 Rh.upf
N 14.01 N.upf
CELL_PARAMETERS angstrom
-4.368 1.082 0.583
-1.611 -5.886 -1.148
0.353 -0.959 4.421
ATOMIC_POSITIONS angstrom
Sr -0.805 -2.943 -0.574
Cl -2.184 0.541 0.292
Cl 0.177 -0.479 2.210
Rh 0.000 0.000 0.000
N -2.813 -2.881 1.928
```


DFT (PBE) results for TcRhNCl2 after structural relaxation. Values from VASP.

```
&SYSTEM
  ibrav = 0, nat = 5, ntyp = 4
/
ATOMIC_SPECIES
Rh 102.91 Rh.upf
N 14.01 N.upf
Cl 35.45 Cl.upf
Tc 98.00 Tc.upf
CELL_PARAMETERS angstrom
-1.088 -1.170 4.898
0.529 -5.010 -1.079
3.533 0.194 0.831
ATOMIC_POSITIONS angstrom
Rh 0.000 0.000 0.000
N 1.767 0.097 0.416
Cl 0.265 -2.505 -0.539
Cl -0.544 -0.585 2.449
Tc 1.487 -2.993 2.325
```


Number 1: final energy -24.8 eV/f.u.. Number 2: final energy -19.9 eV/f.u.. Number 3: final energy -14.6 eV/f.u.. Number 4: final energy -23.6 eV/f.u.. Number 5: final energy -16.4 eV/f.u.. Number 6: final energy -21.2 eV/f.u.. Number 7: final energy -19.1 eV/f.u.. Number 8: final energy -25.7 eV/f.u..